# 1
This record from Alexandria describes Sr2CuSeO6 after structural relaxation. The functional is PBE.

As for the final energy: -0.207 Ha/atom. The value obtained for the uncorrected formation energy is -1559 meV/atom.

a b c (Å): 10.1866 10.1866 10.1866
angles (deg): 31.62 31.62 31.62
Closest atoms and distances in Å follow each position.
Element x y z (fractional)
Sr  0.1160  0.1160  0.1160  9 O 2.72-2.78
Sr  0.2925  0.2925  0.2925  12 O 2.78-2.86
Sr  0.7075  0.7075  0.7075  12 O 2.78-2.86
Sr  0.8840  0.8840  0.8840  9 O 2.72-2.78
Cu  0.0000  0.0000  0.0000  6 O 2.09
Cu  0.5000  0.5000  0.5000  6 O 2.05
Se  0.4104  0.4104  0.4104  6 O 1.82-1.87
Se  0.5896  0.5896  0.5896  6 O 1.82-1.87
O  0.1454  0.6033  0.6033  1 Se 1.87, 1 Cu 2.05
O  0.2177  0.2177  0.6921  1 Se 1.82
O  0.2177  0.6921  0.2177  1 Se 1.82
O  0.3079  0.7823  0.7823  1 Se 1.82
O  0.3967  0.3967  0.8545  1 Se 1.87, 1 Cu 2.05
O  0.3967  0.8545  0.3967  1 Se 1.87, 1 Cu 2.05
O  0.6033  0.1455  0.6033  1 Se 1.87, 1 Cu 2.05
O  0.6033  0.6033  0.1455  1 Se 1.87, 1 Cu 2.05
O  0.6921  0.2177  0.2177  1 Se 1.82
O  0.7823  0.3079  0.7823  1 Se 1.82
O  0.7823  0.7823  0.3079  1 Se 1.82
O  0.8545  0.3967  0.3967  1 Se 1.87, 1 Cu 2.05

# 2
This record from Alexandria describes MnCoTc2 after structural relaxation. The functional is PBE.

Its energy above the lowest structure with this stoichiometry is 0.643 eV per atom. As for the energy relative to the elements: 0.641 eV/atom. As for the final energy: -0.316 Ha/atom.

a b c (Å): 5.3889 5.3889 5.3889
angles (deg): 102.52 102.52 124.49
Closest atoms and distances in Å follow each position.
Element x y z (fractional)
Mn  0.0000  0.0000  0.0000  2 Co 2.51, 4 Tc 2.59
Mn  0.7500  0.2500  0.5000  2 Co 2.51, 4 Tc 2.59
Co  0.2500  0.7500  0.5000  4 Tc 2.34, 2 Mn 2.51
Co  0.5000  0.5000  0.0000  4 Tc 2.34, 2 Mn 2.51
Tc  0.1521  0.6250  0.0271  2 Co 2.34, 2 Tc 2.54, 2 Mn 2.59
Tc  0.3750  0.4021  0.5271  2 Co 2.34, 2 Tc 2.54, 2 Mn 2.59
Tc  0.5979  0.1250  0.9729  2 Co 2.34, 2 Tc 2.54, 2 Mn 2.59
Tc  0.8750  0.8479  0.4729  2 Co 2.34, 2 Tc 2.54, 2 Mn 2.59

# 3
This record from Alexandria describes Na10CdHg6 after structural relaxation. The functional is PBE.

As for the energy relative to the elements: -0.178 eV/atom. As for the final energy: -0.041 Ha/atom.

a b c (Å): 9.1517 9.1517 6.5416
angles (deg): 90.00 90.00 120.00
Closest atoms and distances in Å follow each position.
Element x y z (fractional)
Na  0.0000  0.2809  0.2995  5 Hg 3.16-3.38, 1 Cd 3.23
Na  0.0000  0.7191  0.7005  5 Hg 3.16-3.38, 1 Cd 3.23
Na  0.2809  0.0000  0.2995  5 Hg 3.16-3.38, 1 Cd 3.23
Na  0.2809  0.2809  0.7005  5 Hg 3.16-3.38, 1 Cd 3.23
Na  0.3333  0.6667  0.0000  6 Hg 3.16, 2 Na 3.27
Na  0.3333  0.6667  0.5000  8 Na 3.27-3.57, 6 Hg 3.48
Na  0.6667  0.3333  0.0000  6 Hg 3.16, 2 Na 3.27
Na  0.6667  0.3333  0.5000  8 Na 3.27-3.57, 6 Hg 3.48
Na  0.7191  0.0000  0.7005  5 Hg 3.16-3.38, 1 Cd 3.23
Na  0.7191  0.7191  0.2995  5 Hg 3.16-3.38, 1 Cd 3.23
Cd  0.0000  0.0000  0.0000  6 Na 3.23
Hg  0.0000  0.3752  0.7997  9 Na 3.16-3.48, 1 Hg 3.48
Hg  0.0000  0.6248  0.2003  9 Na 3.16-3.48, 1 Hg 3.48
Hg  0.3752  0.0000  0.7997  9 Na 3.16-3.48, 1 Hg 3.48
Hg  0.3752  0.3752  0.2003  9 Na 3.16-3.48, 1 Hg 3.48
Hg  0.6248  0.0000  0.2003  9 Na 3.16-3.48, 1 Hg 3.48
Hg  0.6248  0.6248  0.7997  9 Na 3.16-3.48, 1 Hg 3.48

# 4
This record from Alexandria describes WN after structural relaxation. The functional is PBE.

As for the final energy: -0.381 Ha/atom. The value obtained for the uncorrected formation energy is 263 meV/atom.

a b c (Å): 5.6826 5.6826 5.6826
angles (deg): 90.00 90.00 90.00
Closest atoms and distances in Å follow each position.
Element x y z (fractional)
W  0.0000  0.2500  0.5000  4 N 2.01
W  0.0000  0.7500  0.5000  4 N 2.01
W  0.2500  0.5000  0.0000  4 N 2.01
W  0.5000  0.0000  0.2500  4 N 2.01
W  0.5000  0.0000  0.7500  4 N 2.01
W  0.7500  0.5000  0.0000  4 N 2.01
N  0.0000  0.5000  0.2500  4 W 2.01
N  0.0000  0.5000  0.7500  4 W 2.01
N  0.2500  0.0000  0.5000  4 W 2.01
N  0.5000  0.2500  0.0000  4 W 2.01
N  0.5000  0.7500  0.0000  4 W 2.01
N  0.7500  0.0000  0.5000  4 W 2.01

# 5
This record from Alexandria describes RbSr2LiI6 after structural relaxation. The functional is PBE.

As for the final energy: -0.113 Ha/atom. The value obtained for the uncorrected formation energy is -1525 meV/atom.

a b c (Å): 8.9651 8.9651 8.9651
angles (deg): 55.93 55.93 55.93
Closest atoms and distances in Å follow each position.
Element x y z (fractional)
Rb  0.0000  0.0000  0.0000  6 I 3.57-3.80
Sr  0.1982  0.1982  0.1982  6 I 3.28-3.33
Sr  0.7127  0.7127  0.7127  6 I 3.29-3.35
Li  0.5276  0.5276  0.5276  6 I 3.01-3.29
I  0.1260  0.4380  0.7831  1 Li 3.29, 2 Sr 3.29-3.33
I  0.3509  0.9138  0.5616  1 Li 3.01, 2 Sr 3.28-3.35
I  0.4380  0.7831  0.1260  1 Li 3.29, 2 Sr 3.29-3.33
I  0.5616  0.3509  0.9138  1 Li 3.01, 2 Sr 3.28-3.35
I  0.7831  0.1260  0.4380  1 Li 3.29, 2 Sr 3.29-3.33
I  0.9138  0.5616  0.3509  1 Li 3.01, 2 Sr 3.28-3.35

# 6
This record from Alexandria describes Cr2BSb after structural relaxation. The functional is PBE.

Its energy above the lowest structure with this stoichiometry is 0.000 eV per atom. As for the final energy: -0.247 Ha/atom. The value obtained for the uncorrected formation energy is 799 meV/atom.

a b c (Å): 4.2075 4.2075 4.2075
angles (deg): 60.00 60.00 60.00
Closest atoms and distances in Å follow each position.
Element x y z (fractional)
Cr  0.2500  0.2500  0.2500  4 Sb 2.58, 4 B 2.58
Cr  0.7500  0.7500  0.7500  4 Sb 2.58, 4 B 2.58
B  0.0000  0.0000  0.0000  8 Cr 2.58
Sb  0.5000  0.5000  0.5000  8 Cr 2.58

# 7
This record from Alexandria describes LaSm2Ho3Te6 after structural relaxation. The functional is PBE.

As for the final energy: -0.193 Ha/atom. The value obtained for the uncorrected formation energy is -1353 meV/atom.

a b c (Å): 9.9070 9.9070 8.9039
angles (deg): 104.15 104.15 25.54
Closest atoms and distances in Å follow each position.
Element x y z (fractional)
La  0.0000  0.0000  0.0000  6 Te 3.20-3.22
Sm  0.3327  0.3327  0.6655  6 Te 3.15-3.17
Sm  0.6673  0.6673  0.3345  6 Te 3.15-3.17
Ho  0.0000  0.0000  0.5000  6 Te 3.04-3.08
Ho  0.3355  0.3355  0.1678  6 Te 3.06-3.09
Ho  0.6645  0.6645  0.8322  6 Te 3.06-3.09
Te  0.1645  0.1645  0.5890  3 Ho 3.08, 3 Sm 3.15-3.16
Te  0.1720  0.1720  0.0800  3 Ho 3.06-3.09, 2 Sm 3.17, 1 La 3.22
Te  0.4992  0.4992  0.2620  3 Ho 3.04-3.06, 1 Sm 3.15, 2 La 3.20
Te  0.5008  0.5008  0.7380  3 Ho 3.04-3.06, 1 Sm 3.15, 2 La 3.20
Te  0.8280  0.8280  0.9200  3 Ho 3.06-3.09, 2 Sm 3.17, 1 La 3.22
Te  0.8355  0.8355  0.4110  3 Ho 3.08, 3 Sm 3.15-3.16

# 8
This record from Alexandria describes CePPdF after structural relaxation. The functional is PBE.

As for the final energy: -0.242 Ha/atom. The value obtained for the uncorrected formation energy is -1996 meV/atom.

a b c (Å): 3.9266 3.9266 8.5484
angles (deg): 90.00 90.00 90.00
Closest atoms and distances in Å follow each position.
Element x y z (fractional)
Ce  0.2500  0.2500  0.1919  4 F 2.56
Ce  0.7500  0.7500  0.8081  4 F 2.56
P  0.2500  0.2500  0.6849  4 Pd 2.52
P  0.7500  0.7500  0.3151  4 Pd 2.52
Pd  0.2500  0.7500  0.5000  4 P 2.52, 4 Pd 2.78
Pd  0.7500  0.2500  0.5000  4 P 2.52, 4 Pd 2.78
F  0.2500  0.7500  0.0000  4 Ce 2.56, 4 F 2.78
F  0.7500  0.2500  0.0000  4 Ce 2.56, 4 F 2.78

# 9
This record from Alexandria describes SiGe3P after structural relaxation. The functional is PBE.

As for the final energy: -0.151 Ha/atom. The value obtained for the uncorrected formation energy is 817 meV/atom.

a b c (Å): 4.7714 4.7714 4.7714
angles (deg): 90.00 90.00 90.00
Closest atoms and distances in Å follow each position.
Element x y z (fractional)
Si  0.0000  0.0000  0.0000  12 Ge 3.37
Ge  0.0000  0.5000  0.5000  2 P 2.39
Ge  0.5000  0.0000  0.5000  2 P 2.39
Ge  0.5000  0.5000  0.0000  2 P 2.39
P  0.5000  0.5000  0.5000  6 Ge 2.39

# 10
This record from Alexandria describes ZrSc2Mn after structural relaxation. The functional is PBE.

Its energy above the lowest structure with this stoichiometry is 0.050 eV per atom. As for the energy relative to the elements: 0.081 eV/atom. As for the final energy: -0.276 Ha/atom.

a b c (Å): 3.2433 3.2433 7.8632
angles (deg): 90.00 90.00 90.00
Closest atoms and distances in Å follow each position.
Element x y z (fractional)
Zr  0.0000  0.0000  0.0000  8 Sc 3.23, 4 Zr 3.24
Sc  0.5000  0.5000  0.2888  4 Mn 2.83
Sc  0.5000  0.5000  0.7112  4 Mn 2.83
Mn  0.0000  0.0000  0.5000  8 Sc 2.83

# 11
This record from Alexandria describes RbSm2C2N6 after structural relaxation. The functional is PBE.

As for the final energy: -0.276 Ha/atom. The value obtained for the uncorrected formation energy is -357 meV/atom.

a b c (Å): 6.0813 6.0813 6.2733
angles (deg): 110.31 110.31 61.98
Closest atoms and distances in Å follow each position.
Element x y z (fractional)
Rb  0.0000  0.0000  0.0000  8 N 3.10-3.43, 2 C 3.22
Sm  0.3287  0.3287  0.7012  6 N 2.35-2.57
Sm  0.6713  0.6713  0.2988  6 N 2.35-2.57
C  0.3375  0.3375  0.2503  3 N 1.34
C  0.6625  0.6625  0.7497  3 N 1.34
N  0.1121  0.4737  0.3136  1 C 1.34
N  0.4222  0.4222  0.1369  1 C 1.34
N  0.4737  0.1121  0.3136  1 C 1.34
N  0.5263  0.8879  0.6864  1 C 1.34
N  0.5778  0.5778  0.8631  1 C 1.34
N  0.8879  0.5263  0.6864  1 C 1.34

# 12
This record from Alexandria describes Zr5Mo3 after structural relaxation. The functional is PBE.

Its energy above the lowest structure with this stoichiometry is 0.055 eV per atom. As for the energy relative to the elements: 0.127 eV/atom. As for the final energy: -0.341 Ha/atom.

a b c (Å): 8.1400 8.1400 5.4618
angles (deg): 108.86 108.86 85.01
Closest atoms and distances in Å follow each position.
Element x y z (fractional)
Zr  0.0122  0.9878  0.7500  2 Zr 2.74, 2 Mo 2.79
Zr  0.2002  0.3580  0.7954  5 Mo 2.82-3.05, 1 Zr 3.09
Zr  0.2009  0.6443  0.4208  5 Mo 2.76-2.98
Zr  0.3557  0.7991  0.0792  5 Mo 2.76-2.98
Zr  0.3580  0.2002  0.2954  5 Mo 2.82-3.05, 1 Zr 3.09
Zr  0.6420  0.7998  0.7046  5 Mo 2.82-3.05, 1 Zr 3.09
Zr  0.6443  0.2009  0.9208  5 Mo 2.76-2.98
Zr  0.7991  0.3557  0.5792  5 Mo 2.76-2.98
Zr  0.7998  0.6420  0.2046  5 Mo 2.82-3.05, 1 Zr 3.09
Zr  0.9878  0.0122  0.2500  2 Zr 2.74, 2 Mo 2.79
Mo  0.0029  0.3432  0.2086  7 Zr 2.76-3.05
Mo  0.3432  0.0029  0.7086  7 Zr 2.76-3.05
Mo  0.4985  0.5015  0.7500  2 Mo 2.73, 8 Zr 2.86-2.92
Mo  0.5015  0.4985  0.2500  2 Mo 2.73, 8 Zr 2.86-2.92
Mo  0.6568  0.9971  0.2914  7 Zr 2.76-3.05
Mo  0.9971  0.6568  0.7914  7 Zr 2.76-3.05

- Look up the final energy of the second one.
  -0.316 Ha/atom

- Which value of final energy does entry 4 give?
  -0.381 Ha/atom

- Number 6 is which compound?
  Cr2BSb